Density functional theory data (GGA-PBE) for a relaxed La4SmCo crystal.

The calculation puts the distance to the lowest polymorph of the same formula at 0.0 kJ/mol of atoms. For the energy relative to the elements, the calculation gives -1.61 kJ per mole of atoms. Its crystal system is monoclinic. Its density of states at the Fermi level is 1.505 states/eV/atom. As for the total DFT energy (no corrections): -126.54 eV for the cell shown. Its total moment is 0.0 μB/f.u. The calculation puts the volume at 32.7 A^3/atom.

The structure belongs to space group C2/m (No. 12); the cell edges are 18.248, 7.382 and 6.198 Å and the angles 90.00°, 109.76° and 90.00°. The asymmetric unit holds La at (0.000, 0.250, 0.000), La at (0.113, 0.247, 0.620), La at (0.187, 0.500, 0.220), Sm at (0.198, 0.000, 0.159) and Co at (0.033, 0.500, 0.351).